Density functional theory data (PBE) for crystalline FeCo2Br at its relaxed geometry.

Computed properties:
D(E_F) = 4.25 states/eV/f.u.
total magnetic moment = 6.53 Bohr magnetons per cell
crystal system = orthorhombic
energy = -5.462 eV per atom

Unit cell a=2.828 b=2.828 c=8.059 alpha=90.00 beta=90.00 gamma=114.88
Site moments in Bohr magnetons follow the coordinates.
Fractional positions:
Br: 0.500 0.500 0.750  0.11
Co: 0.000 0.000 0.027  1.81
Co: 0.000 0.000 0.473  1.81
Fe: 0.500 0.500 0.250  2.85